1.
Computed, not measured: B2AsCl2 after structural relaxation at the PBE level of DFT.

a b c (Å): 7.421 7.611 11.641
angles (deg): 99.14 101.80 114.71
Fractional coordinates of all 20 atoms:
B 0.055 0.395 0.289
B 0.103 0.774 0.855
B 0.106 0.217 0.349
B 0.149 0.262 0.211
B 0.851 0.738 0.789
B 0.894 0.783 0.651
B 0.897 0.226 0.145
B 0.945 0.605 0.711
As 0.084 0.037 0.814
As 0.219 0.843 0.701
As 0.781 0.157 0.299
As 0.916 0.963 0.186
Cl 0.148 0.655 0.348
Cl 0.228 0.751 0.992
Cl 0.264 0.228 0.487
Cl 0.371 0.335 0.161
Cl 0.629 0.665 0.839
Cl 0.736 0.772 0.513
Cl 0.772 0.249 0.008
Cl 0.852 0.345 0.652

- DOS(E_F): 0.00 states/eV per cell
- Symmetry: P-1
- Raw formation energy: -0.441 eV/atom

2.
Computed, not measured: ReAuF3 after structural relaxation at the PBE level of DFT.

a b c (Å): 4.243 4.243 4.243
angles (deg): 90.00 90.00 90.00
Fractional coordinates of all 5 atoms:
Re 0.000 0.000 0.000
Au 0.500 0.500 0.500
F 0.000 0.000 0.500
F 0.000 0.500 0.000
F 0.500 0.000 0.000

- DOS(E_F): 3.95 states/eV per cell
- Symmetry: Pm-3m
- Raw formation energy: -0.474 eV/atom

3.
Computed, not measured: SmTiSe3 after structural relaxation at the PBE level of DFT.

a b c (Å): 8.265 3.872 13.889
angles (deg): 90.00 90.00 90.00
Fractional coordinates of all 20 atoms:
Sm 0.086 0.250 0.170
Sm 0.414 0.750 0.670
Sm 0.586 0.250 0.330
Sm 0.914 0.750 0.830
Ti 0.143 0.750 0.455
Ti 0.357 0.250 0.955
Ti 0.643 0.750 0.045
Ti 0.857 0.250 0.545
Se 0.025 0.750 0.620
Se 0.157 0.750 0.009
Se 0.197 0.250 0.791
Se 0.303 0.750 0.291
Se 0.343 0.250 0.509
Se 0.475 0.250 0.120
Se 0.525 0.750 0.880
Se 0.657 0.750 0.491
Se 0.697 0.250 0.709
Se 0.803 0.750 0.209
Se 0.843 0.250 0.991
Se 0.975 0.250 0.380

- DOS(E_F): 6.95 states/eV per cell
- Symmetry: Pnma
- Raw formation energy: -1.477 eV/atom

4.
Computed, not measured: NaSiH6 after structural relaxation at the PBE level of DFT.

a b c (Å): 4.128 4.128 4.128
angles (deg): 97.88 97.88 97.88
Fractional coordinates of all 8 atoms:
Na 0.000 0.000 0.000
Si 0.500 0.500 0.500
H 0.228 0.228 0.588
H 0.228 0.588 0.228
H 0.412 0.772 0.772
H 0.588 0.228 0.228
H 0.772 0.412 0.772
H 0.772 0.772 0.412

- DOS(E_F): 2.58 states/eV per cell
- Symmetry: R-3m

5.
Computed, not measured: NdEr5Th5 after structural relaxation at the PBE level of DFT.

a b c (Å): 6.304 6.304 11.160
angles (deg): 90.00 90.00 120.00
Fractional coordinates of all 11 atoms:
Nd 0.000 0.000 0.000
Er 0.000 0.000 0.332
Er 0.000 0.000 0.668
Er 0.333 0.667 0.184
Er 0.333 0.667 0.816
Er 0.667 0.333 0.000
Th 0.013 0.507 0.500
Th 0.493 0.507 0.500
Th 0.493 0.987 0.500
Th 0.667 0.333 0.269
Th 0.667 0.333 0.731

- DOS(E_F): 16.91 states/eV per cell
- Symmetry: P-6m2

6.
Computed, not measured: TmSc2Cd after structural relaxation at the PBE level of DFT.

a b c (Å): 11.974 3.593 5.120
angles (deg): 90.00 115.24 90.00
Fractional coordinates of all 8 atoms:
Tm 0.000 0.000 0.000
Tm 0.500 0.500 0.000
Sc 0.226 0.000 0.726
Sc 0.274 0.500 0.274
Sc 0.726 0.500 0.726
Sc 0.774 0.000 0.274
Cd 0.000 0.500 0.500
Cd 0.500 0.000 0.500

- DOS(E_F): 9.01 states/eV per cell
- Symmetry: C2/m

7.
Computed, not measured: Mn2GaBSe after structural relaxation at the PBE level of DFT.

a b c (Å): 8.826 2.995 6.294
angles (deg): 90.00 123.65 90.00
Fractional coordinates of all 10 atoms:
Mn 0.000 0.000 0.000
Mn 0.204 0.000 0.520
Mn 0.500 0.500 0.000
Mn 0.704 0.500 0.520
Ga 0.460 0.000 0.492
Ga 0.960 0.500 0.492
B 0.130 0.500 0.278
B 0.630 0.000 0.278
Se 0.261 0.000 0.929
Se 0.761 0.500 0.929

- DOS(E_F): 5.14 states/eV per cell
- Symmetry: Cm
- Raw formation energy: 0.068 eV/atom

8.
Computed, not measured: Y2Tl2Rh after structural relaxation at the PBE level of DFT.

a b c (Å): 3.576 3.576 19.524
angles (deg): 90.00 90.00 90.00
Fractional coordinates of all 10 atoms:
Y 0.000 0.000 0.083
Y 0.000 0.000 0.917
Y 0.500 0.500 0.417
Y 0.500 0.500 0.583
Tl 0.000 0.000 0.302
Tl 0.000 0.000 0.698
Tl 0.500 0.500 0.198
Tl 0.500 0.500 0.802
Rh 0.000 0.000 0.500
Rh 0.500 0.500 0.000

- DOS(E_F): 5.04 states/eV per cell
- Symmetry: I4/mmm

9.
Computed, not measured: Ni2PtBr after structural relaxation at the PBE level of DFT.

a b c (Å): 7.688 3.356 5.970
angles (deg): 90.00 105.07 90.00
Fractional coordinates of all 8 atoms:
Ni 0.000 0.000 0.000
Ni 0.229 0.500 0.129
Ni 0.500 0.500 0.000
Ni 0.729 0.000 0.129
Pt 0.264 0.000 0.828
Pt 0.764 0.500 0.828
Br 0.140 0.500 0.471
Br 0.640 0.000 0.471

- DOS(E_F): 10.57 states/eV per cell
- Symmetry: Cm
- Raw formation energy: 0.358 eV/atom

10.
Computed, not measured: La2YPb3 after structural relaxation at the PBE level of DFT.

a b c (Å): 8.167 8.167 9.198
angles (deg): 90.00 90.00 143.41
Fractional coordinates of all 12 atoms:
La 0.000 0.000 0.000
La 0.000 0.000 0.500
La 0.334 0.666 0.000
La 0.666 0.334 0.000
Y 0.331 0.669 0.500
Y 0.669 0.331 0.500
Pb 0.169 0.831 0.257
Pb 0.169 0.831 0.743
Pb 0.500 0.500 0.257
Pb 0.500 0.500 0.743
Pb 0.831 0.169 0.257
Pb 0.831 0.169 0.743

- DOS(E_F): 11.11 states/eV per cell
- Symmetry: Cmmm

11.
Computed, not measured: LiLaZn2Cu after structural relaxation at the PBE level of DFT.

a b c (Å): 4.699 4.699 4.627
angles (deg): 90.00 90.00 90.00
Fractional coordinates of all 5 atoms:
Li 0.000 0.000 0.000
La 0.500 0.500 0.000
Zn 0.000 0.500 0.500
Zn 0.500 0.000 0.500
Cu 0.000 0.000 0.500

- DOS(E_F): 4.89 states/eV per cell
- Symmetry: P4/mmm

12.
Computed, not measured: Ho5CdCo4 after structural relaxation at the PBE level of DFT.

a b c (Å): 3.344 3.344 17.758
angles (deg): 90.00 90.00 90.00
Fractional coordinates of all 10 atoms:
Ho 0.000 0.000 0.000
Ho 0.000 0.000 0.186
Ho 0.000 0.000 0.372
Ho 0.000 0.000 0.628
Ho 0.000 0.000 0.814
Cd 0.500 0.500 0.500
Co 0.500 0.500 0.094
Co 0.500 0.500 0.283
Co 0.500 0.500 0.717
Co 0.500 0.500 0.906

- DOS(E_F): 5.84 states/eV per cell
- Symmetry: P4/mmm

13.
Computed, not measured: Dy6As2AuSe3 after structural relaxation at the PBE level of DFT.

a b c (Å): 9.225 9.225 8.295
angles (deg): 103.11 103.11 25.54
Fractional coordinates of all 12 atoms:
Dy 0.002 0.002 0.250
Dy 0.330 0.330 0.423
Dy 0.333 0.333 0.909
Dy 0.667 0.667 0.091
Dy 0.670 0.670 0.577
Dy 0.998 0.998 0.750
As 0.166 0.166 0.335
As 0.834 0.834 0.665
Au 0.500 0.500 0.000
Se 0.168 0.168 0.833
Se 0.500 0.500 0.500
Se 0.832 0.832 0.167

- DOS(E_F): 4.16 states/eV per cell
- Symmetry: C2/m
- Raw formation energy: -1.551 eV/atom

14.
Computed, not measured: Li2TaAs after structural relaxation at the PBE level of DFT.

a b c (Å): 2.884 2.884 28.374
angles (deg): 90.00 90.00 120.00
Fractional coordinates of all 12 atoms:
Li 0.000 0.000 0.241
Li 0.000 0.000 0.759
Li 0.333 0.667 0.426
Li 0.333 0.667 0.908
Li 0.667 0.333 0.092
Li 0.667 0.333 0.574
Ta 0.000 0.000 0.000
Ta 0.333 0.667 0.667
Ta 0.667 0.333 0.333
As 0.000 0.000 0.500
As 0.333 0.667 0.167
As 0.667 0.333 0.833

- DOS(E_F): 11.59 states/eV per cell
- Symmetry: R-3m

15.
Computed, not measured: MnMoAu2 after structural relaxation at the PBE level of DFT.

a b c (Å): 4.035 4.035 8.021
angles (deg): 90.00 90.00 90.00
Fractional coordinates of all 8 atoms:
Mn 0.000 0.000 0.000
Mn 0.500 0.500 0.500
Mo 0.000 0.500 0.750
Mo 0.500 0.000 0.250
Au 0.000 0.000 0.500
Au 0.000 0.500 0.250
Au 0.500 0.000 0.750
Au 0.500 0.500 0.000

- DOS(E_F): 5.97 states/eV per cell
- Symmetry: I-4m2

16.
Computed, not measured: LiNbO2 after structural relaxation at the PBE level of DFT.

a b c (Å): 2.696 2.696 5.473
angles (deg): 90.00 90.00 90.00
Fractional coordinates of all 4 atoms:
Li 0.000 0.000 0.000
Nb 0.000 0.000 0.500
O 0.500 0.500 0.272
O 0.500 0.500 0.728

- DOS(E_F): 1.11 states/eV per cell
- Symmetry: P4/mmm
- Raw formation energy: -1.818 eV/atom

17.
Computed, not measured: MgZr4Zn after structural relaxation at the PBE level of DFT.

a b c (Å): 5.852 5.471 8.207
angles (deg): 90.00 90.00 90.00
Fractional coordinates of all 12 atoms:
Mg 0.000 0.000 0.000
Mg 0.500 0.000 0.500
Zr 0.000 0.237 0.392
Zr 0.000 0.763 0.608
Zr 0.250 0.301 0.750
Zr 0.250 0.699 0.250
Zr 0.500 0.237 0.108
Zr 0.500 0.763 0.892
Zr 0.750 0.301 0.750
Zr 0.750 0.699 0.250
Zn 0.000 0.500 0.000
Zn 0.500 0.500 0.500

- DOS(E_F): 13.10 states/eV per cell
- Symmetry: Pmna

18.
Computed, not measured: TbAl2Au8 after structural relaxation at the PBE level of DFT.

a b c (Å): 7.420 7.420 7.630
angles (deg): 115.92 115.92 33.43
Fractional coordinates of all 11 atoms:
Tb 0.000 0.000 0.000
Al 0.279 0.279 0.300
Al 0.721 0.721 0.700
Au 0.101 0.101 0.472
Au 0.184 0.184 0.899
Au 0.335 0.335 0.711
Au 0.458 0.458 0.265
Au 0.542 0.542 0.735
Au 0.665 0.665 0.289
Au 0.816 0.816 0.101
Au 0.899 0.899 0.528

- DOS(E_F): 2.21 states/eV per cell
- Symmetry: C2/m

19.
Computed, not measured: CsPr2PuO8 after structural relaxation at the PBE level of DFT.

a b c (Å): 4.909 5.182 8.282
angles (deg): 92.80 94.04 91.54
Fractional coordinates of all 12 atoms:
Cs 0.000 0.000 0.000
Pr 0.449 0.465 0.716
Pr 0.551 0.535 0.284
Pu 0.000 0.000 0.500
O 0.114 0.741 0.328
O 0.234 0.867 0.682
O 0.301 0.266 0.461
O 0.388 0.398 0.999
O 0.612 0.602 0.001
O 0.699 0.734 0.539
O 0.766 0.133 0.318
O 0.886 0.259 0.672

- Symmetry: P-1
- Raw formation energy: -2.441 eV/atom

20.
Computed, not measured: AlFe2Pb after structural relaxation at the PBE level of DFT.

a b c (Å): 3.210 3.210 6.252
angles (deg): 90.00 90.00 90.00
Fractional coordinates of all 4 atoms:
Al 0.000 0.000 0.000
Fe 0.500 0.500 0.187
Fe 0.500 0.500 0.813
Pb 0.000 0.000 0.500

- DOS(E_F): 3.29 states/eV per cell
- Symmetry: P4/mmm

Number 1: VASP energy -4.78 eV/atom. Number 2: VASP energy -4.74 eV/atom. Number 3: VASP energy -6.09 eV/atom. Number 4: VASP energy -3.16 eV/atom. Number 5: VASP energy -5.51 eV/atom. Number 6: VASP energy -4.64 eV/atom. Number 7: VASP energy -6.24 eV/atom. Number 8: VASP energy -5.43 eV/atom. Number 9: VASP energy -4.46 eV/atom. Number 10: VASP energy -5.12 eV/atom. Number 11: VASP energy -2.79 eV/atom. Number 12: VASP energy -5.43 eV/atom. Number 13: VASP energy -5.77 eV/atom. Number 14: VASP energy -5.00 eV/atom. Number 15: VASP energy -6.41 eV/atom. Number 16: VASP energy -7.29 eV/atom. Number 17: VASP energy -6.09 eV/atom. Number 18: VASP energy -3.89 eV/atom. Number 19: VASP energy -7.81 eV/atom. Number 20: VASP energy -5.84 eV/atom.